Sm3RuBr3: optimized geometry, PBE-GGA.

abc: 8.7296 4.1872 12.1119
angles: 90.00 91.39 90.00
Positions (direct):
1 Sm 0.1013 0.2500 0.3278
2 Sm 0.1364 0.2500 0.8687
3 Sm 0.2803 0.7500 0.1034
4 Sm 0.7197 0.2500 0.8966
5 Sm 0.8636 0.7500 0.1313
6 Sm 0.8987 0.7500 0.6722
7 Ru 0.0624 0.2500 0.0990
8 Ru 0.9376 0.7500 0.9010
9 Br 0.1306 0.2500 0.6024
10 Br 0.3383 0.7500 0.3553
11 Br 0.4295 0.7500 0.8703
12 Br 0.5705 0.2500 0.1297
13 Br 0.6617 0.2500 0.6447
14 Br 0.8694 0.7500 0.3976

---

Sm3Ru2Br: optimized geometry, PBE-GGA.

abc: 3.4465 3.4465 11.7837
angles: 90.00 90.00 90.00
Positions (direct):
1 Sm 0.0000 0.0000 0.0000
2 Sm 0.0000 0.0000 0.2959
3 Sm 0.0000 0.0000 0.7041
4 Ru 0.5000 0.5000 0.1565
5 Ru 0.5000 0.5000 0.8435
6 Br 0.5000 0.5000 0.5000

---

Sm6SnRu2Br3: optimized geometry, PBE-GGA.

abc: 7.2694 7.2694 8.0873
angles: 98.63 98.63 120.06
Positions (direct):
1 Sm 0.0613 0.4324 0.7965
2 Sm 0.1966 0.1966 0.2030
3 Sm 0.4324 0.0613 0.7965
4 Sm 0.5676 0.9387 0.2035
5 Sm 0.8034 0.8034 0.7970
6 Sm 0.9387 0.5676 0.2035
7 Sn 0.5000 0.5000 0.0000
8 Ru 0.1668 0.8332 0.0000
9 Ru 0.8332 0.1668 0.0000
10 Br 0.0000 0.0000 0.5000
11 Br 0.3357 0.6643 0.5000
12 Br 0.6643 0.3357 0.5000

---

The records above yield E values of -5.312 -6.318 -5.503 eV/atom, respectively.
The records above yield N(E_F) values of 1.56 1.44 4.73 states/eV/f.u., respectively.
The records above yield raw formation energy values of -1.248 -0.587 -0.846 eV per atom, respectively.